Material: GdInCu2
Method: DFT, PBE-GGA
State: optimized geometry

Results
space group = Fm-3m
calculated density = 8.84 g/cm³
DFT formation energy = -0.306 eV/atom

abc: 4.733 4.733 4.734
angles: 60.01 60.01 60.00
Site moments in Bohr magnetons follow the coordinates.
Atoms (fractional coordinates):
In 0.500 0.500 0.500  0.00
Gd 0.000 0.000 0.000  7.04
Cu 0.250 0.250 0.250  0.01
Cu 0.750 0.750 0.750  0.01

---

Material: GaGeTe2
Method: DFT, PBE-GGA
State: optimized geometry

Results
raw formation energy = 0.18 eV per atom
space group = R-3m
energy above the most stable polymorph in this dataset = 310 meV per atom
calculated density = 5.22 g/cm³

abc: 9.670 9.670 9.670
angles: 23.53 23.53 23.53
Atoms (fractional coordinates):
Te 0.105 0.105 0.105
Te 0.895 0.895 0.895
Ge 0.500 0.500 0.500
Ga 0.000 0.000 0.000

---

Material: MnWSe
Method: DFT, PBE-GGA
State: optimized geometry

Results
raw formation energy = 0.36 eV per atom
space group = F-43m
energy above the most stable polymorph in this dataset = 93 meV per atom
calculated density = 11.32 g/cm³

abc: 4.040 4.040 4.040
angles: 60.00 60.00 60.00
Atoms (fractional coordinates):
W 0.500 0.500 0.500
Se 0.000 0.000 0.000
Mn 0.750 0.750 0.750

---

Material: BeFe4Sb
Method: DFT, PBE-GGA
State: optimized geometry

Results
raw formation energy = 0.26 eV per atom
space group = F-43m
calculated density = 7.49 g/cm³

abc: 4.807 4.807 4.807
angles: 60.00 60.00 60.00
Site moments in Bohr magnetons follow the coordinates.
Atoms (fractional coordinates):
Sb 0.750 0.750 0.750  -0.03
Be 0.000 0.000 0.000  -0.08
Fe 0.374 0.374 0.374  2.11
Fe 0.374 0.374 0.878  2.11
Fe 0.374 0.878 0.374  2.11
Fe 0.878 0.374 0.374  2.11

---

Material: RbAgHgSe2
Method: DFT, PBE-GGA
State: optimized geometry

Results
raw formation energy = -0.51 eV per atom
space group = C2/m
calculated density = 5.48 g/cm³

abc: 4.425 8.536 9.634
angles: 107.31 90.00 105.02
Atoms (fractional coordinates):
Rb 0.291 0.583 0.281
Rb 0.709 0.417 0.719
Se 0.630 0.260 0.338
Se 0.876 0.753 0.090
Se 0.124 0.247 0.910
Se 0.370 0.740 0.662
Hg 0.036 0.072 0.242
Hg 0.964 0.928 0.758
Ag 0.389 0.778 0.948
Ag 0.611 0.222 0.052

---

Material: SmDyTeO6
Method: DFT, PBE-GGA
State: optimized geometry

Results
raw formation energy = -2.44 eV per atom
space group = P-31c
calculated density = 6.80 g/cm³

abc: 5.584 5.584 9.701
angles: 90.00 90.00 120.00
Atoms (fractional coordinates):
O 0.043 0.667 0.863
O 0.667 0.624 0.137
O 0.376 0.043 0.137
O 0.667 0.043 0.363
O 0.376 0.333 0.363
O 0.957 0.333 0.137
O 0.624 0.957 0.863
O 0.333 0.957 0.637
O 0.333 0.376 0.863
O 0.957 0.624 0.363
O 0.043 0.376 0.637
O 0.624 0.667 0.637
Dy 0.333 0.667 0.250
Dy 0.667 0.333 0.750
Sm 0.000 0.000 0.500
Sm 0.000 0.000 0.000
Te 0.667 0.333 0.250
Te 0.333 0.667 0.750

---

Material: Tb2B4Ir3
Method: DFT, PBE-GGA
State: optimized geometry

Results
space group = Fmmm
calculated density = 12.32 g/cm³
DFT formation energy = -0.246 eV/atom

abc: 5.420 5.420 5.624
angles: 104.60 104.60 118.48
Atoms (fractional coordinates):
Ir 0.500 0.000 0.000
Ir 0.000 0.500 0.000
Ir 0.000 0.000 0.000
Tb 0.654 0.654 0.307
Tb 0.346 0.346 0.693
B 0.048 0.618 0.666
B 0.382 0.952 0.334
B 0.618 0.048 0.666
B 0.952 0.382 0.334

---

Material: SrPbS2
Method: DFT, PBE-GGA
State: optimized geometry

Results
raw formation energy = -1.34 eV per atom
space group = R-3m
calculated density = 5.40 g/cm³

abc: 7.408 7.408 7.408
angles: 33.51 33.51 33.51
Atoms (fractional coordinates):
S 0.751 0.751 0.751
S 0.249 0.249 0.249
Pb 0.000 0.000 0.000
Sr 0.500 0.500 0.500

---

Taking the records one at a time from the top gives spin magnetization values of 1.7990; 0.0000; 0.0000; 1.3811; 0.0000; 0.0000; 0.0000; 0.0000 μB/atom.